# 1
This record from the Alexandria database describes a geometry-optimized TaHgRh2 structure. The functional is PBE.

Cell and atoms, written as POSCAR:
```
TaHgRh2
1.0
-2.101 2.101 3.697
2.101 -2.101 3.697
2.101 2.101 -3.697
Ta Hg Rh
1 1 2
direct
0.000 0.000 0.000 Ta
0.500 0.500 0.000 Hg
0.250 0.750 0.500 Rh
0.750 0.250 0.500 Rh
```

Formation energy from the elements ... -25.26 kJ per mole of atoms
Volume ... 16.32 A^3/atom
Space group ... I4/mmm
Final energy ... -27.904 eV per formula unit
Total magnetization ... 0.00 μB/cell
D(E_F) ... 1.9 states/eV/f.u.

# 2
This record from the Alexandria database describes a geometry-optimized BaCuAu2 structure. The functional is PBE.

Cell and atoms, written as POSCAR:
```
BaCuAu2
1.0
2.287 1.321 5.618
-2.287 1.321 5.618
0.000 -2.641 5.618
Ba Cu Au
1 1 2
direct
0.000 0.000 0.000 Ba
0.500 0.500 0.500 Cu
0.203 0.203 0.203 Au
0.797 0.797 0.797 Au
```

Energy relative to the lowest polymorph listed for this composition ... 0.0 meV per atom
Formation energy from the elements ... -42.76 kJ per mole of atoms
Volume ... 25.45 A^3/atom
Space group ... R-3m
Final energy ... -14.346 eV per formula unit
Total magnetization ... 0.00 μB/cell
D(E_F) ... 1.8 states/eV/f.u.

# 3
This record from the Alexandria database describes a geometry-optimized Zr3CdC structure. The functional is PBE.

Cell and atoms, written as POSCAR:
```
Zr3CdC
1.0
5.622 0.000 0.000
0.000 6.515 0.000
-1.972 0.000 5.273
Zr Cd C
6 2 2
direct
0.245 0.250 0.254 Zr
0.254 0.000 0.752 Zr
0.254 0.500 0.752 Zr
0.746 0.000 0.248 Zr
0.746 0.500 0.248 Zr
0.755 0.750 0.746 Zr
0.242 0.750 0.257 Cd
0.758 0.250 0.743 Cd
0.487 0.250 0.013 C
0.513 0.750 0.987 C
```

Energy relative to the lowest polymorph listed for this composition ... 222.7 meV per atom
Formation energy from the elements ... -19.90 kJ per mole of atoms
Volume ... 19.31 A^3/atom
Space group ... P2_1/m
Final energy ... -36.815 eV per formula unit
Total magnetization ... 0.00 μB/cell
D(E_F) ... 2.1 states/eV/f.u.

# 4
This record from the Alexandria database describes a geometry-optimized Ta2TiSi structure. The functional is PBE.

Cell and atoms, written as POSCAR:
```
Ta2TiSi
1.0
1.488 0.859 8.957
-1.488 0.859 8.957
0.000 -1.718 8.957
Ta Ti Si
2 1 1
direct
0.245 0.245 0.245 Ta
0.755 0.755 0.755 Ta
0.000 0.000 0.000 Ti
0.500 0.500 0.500 Si
```

Volume ... 17.17 A^3/atom
Raw formation energy ... 0.031 eV per atom
Space group ... R-3m
Final energy ... -36.900 eV per formula unit
Total magnetization ... 0.00 μB/cell
D(E_F) ... 2.5 states/eV/f.u.

# 5
This record from the Alexandria database describes a geometry-optimized Mo2OsPt structure. The functional is PBE.

Cell and atoms, written as POSCAR:
```
Mo2OsPt
1.0
4.807 0.000 0.000
0.000 2.781 0.000
-1.616 0.000 4.574
Mo Os Pt
2 1 1
direct
0.000 0.000 0.000 Mo
0.500 0.500 0.000 Mo
0.000 0.500 0.500 Os
0.500 0.000 0.500 Pt
```

Energy relative to the lowest polymorph listed for this composition ... 180.8 meV per atom
Formation energy from the elements ... 1.41 kJ per mole of atoms
Volume ... 15.28 A^3/atom
Space group ... P2/m
Final energy ... -38.874 eV per formula unit
Total magnetization ... 0.00 μB/cell
D(E_F) ... 3.8 states/eV/f.u.

# 6
This record from the Alexandria database describes a geometry-optimized CrCdCo structure. The functional is PBE.

Cell and atoms, written as POSCAR:
```
CrCdCo
1.0
0.000 2.961 2.961
2.961 0.000 2.961
2.961 2.961 0.000
Cr Cd Co
1 1 1
direct
0.000 0.000 0.000 Cr
0.500 0.500 0.500 Cd
0.750 0.750 0.750 Co
```

Energy relative to the lowest polymorph listed for this composition ... 383.4 meV per atom
Formation energy from the elements ... 68.98 kJ per mole of atoms
Volume ... 17.31 A^3/atom
Space group ... F-43m
Final energy ... -15.500 eV per formula unit
Total magnetization ... 2.57 μB/cell
D(E_F) ... 5.1 states/eV/f.u.

# 7
This record from the Alexandria database describes a geometry-optimized La2InTcN structure. The functional is PBE.

Cell and atoms, written as POSCAR:
```
La2InTcN
1.0
5.367 0.000 0.000
0.000 5.367 0.000
0.000 0.000 3.943
La In Tc N
2 1 1 1
direct
0.000 0.500 0.000 La
0.500 0.000 0.000 La
0.000 0.000 0.500 In
0.500 0.500 0.500 Tc
0.500 0.500 0.000 N
```

Volume ... 22.71 A^3/atom
Raw formation energy ... -0.623 eV per atom
Space group ... P4/mmm
Final energy ... -34.400 eV per formula unit
Total magnetization ... 0.00 μB/cell
D(E_F) ... 2.7 states/eV/f.u.

# 8
This record from the Alexandria database describes a geometry-optimized LiZrZn17 structure. The functional is PBE.

Cell and atoms, written as POSCAR:
```
LiZrZn17
1.0
4.418 2.550 4.377
-4.418 2.550 4.377
0.000 -5.101 4.377
Li Zr Zn
1 1 17
direct
0.000 0.000 0.000 Li
0.702 0.702 0.702 Zr
0.014 0.014 0.540 Zn
0.014 0.540 0.014 Zn
0.064 0.365 0.679 Zn
0.064 0.679 0.365 Zn
0.211 0.718 0.718 Zn
0.267 0.267 0.267 Zn
0.365 0.064 0.679 Zn
0.365 0.679 0.064 Zn
0.372 0.372 0.871 Zn
0.372 0.871 0.372 Zn
0.470 0.470 0.470 Zn
0.540 0.014 0.014 Zn
0.679 0.064 0.365 Zn
0.679 0.365 0.064 Zn
0.718 0.211 0.718 Zn
0.718 0.718 0.211 Zn
0.871 0.372 0.372 Zn
```

Formation energy from the elements ... -8.85 kJ per mole of atoms
Volume ... 15.57 A^3/atom
Space group ... R3m
Final energy ... -33.862 eV per formula unit
Total magnetization ... 0.00 μB/cell
D(E_F) ... 5.1 states/eV/f.u.